Computed, not measured: a relaxed structure of NbGeBi at the GGA-PBE level of DFT.

Structure (POSCAR):
```
NbGeBi
1.0
-5.6666 5.6666 2.4826
5.6666 -5.6666 2.4826
5.6666 5.6666 -2.4826
Nb Ge Bi
4 4 4
direct
0.0000 0.3644 0.3644
0.0000 0.6357 0.6357
0.3644 0.0000 0.3644
0.6357 0.0000 0.6357
0.2020 0.5000 0.7020
0.5000 0.2020 0.7020
0.5000 0.7980 0.2980
0.7980 0.5000 0.2980
0.1862 0.1862 0.3725
0.1862 0.8138 0.0000
0.8138 0.1862 0.0000
0.8138 0.8138 0.6275
```

Results
- space-group type = I4/mmm, No. 139

=====

Computed, not measured: a relaxed structure of ZrB at the GGA-PBE level of DFT.

Structure (POSCAR):
```
ZrB
1.0
6.5179 0.0000 0.0000
0.0000 6.5179 0.0000
0.0000 0.0000 6.5179
Zr B
6 6
direct
0.0000 0.2500 0.5000
0.0000 0.7500 0.5000
0.2500 0.5000 0.0000
0.5000 0.0000 0.2500
0.5000 0.0000 0.7500
0.7500 0.5000 0.0000
0.0000 0.5000 0.2500
0.0000 0.5000 0.7500
0.2500 0.0000 0.5000
0.5000 0.2500 0.0000
0.5000 0.7500 0.0000
0.7500 0.0000 0.5000
```

Results
- space-group type = Pm-3n, No. 223

=====

Computed, not measured: a relaxed structure of LaSm12Ho2 at the GGA-PBE level of DFT.

Structure (POSCAR):
```
LaSm12Ho2
1.0
3.5670 -5.7563 0.0000
3.5670 5.7563 0.0000
0.0000 0.0000 25.0047
La Sm Ho
2 24 4
direct
0.2500 0.7500 0.9948
0.7500 0.2500 0.0052
0.0045 0.5045 0.8664
0.0089 0.9911 0.0783
0.0177 0.5177 0.4147
0.0229 0.9771 0.5598
0.2500 0.2500 0.2013
0.2500 0.2500 0.3266
0.2500 0.2500 0.6734
0.2500 0.2500 0.7987
0.4771 0.5229 0.5598
0.4823 0.9823 0.4147
0.4911 0.5089 0.0783
0.4955 0.9955 0.8664
0.5045 0.0045 0.1336
0.5089 0.4911 0.9217
0.5177 0.0177 0.5853
0.5229 0.4771 0.4402
0.7500 0.7500 0.2013
0.7500 0.7500 0.3266
0.7500 0.7500 0.6734
0.7500 0.7500 0.7987
0.9771 0.0229 0.4402
0.9823 0.4823 0.5853
0.9911 0.0089 0.9217
0.9955 0.4955 0.1336
0.2500 0.7500 0.2676
0.2500 0.7500 0.7277
0.7500 0.2500 0.2723
0.7500 0.2500 0.7324
```

Results
- space-group type = Cmme, No. 67

=====

Computed, not measured: a relaxed structure of Cr2CuAg2 at the GGA-PBE level of DFT.

Structure (POSCAR):
```
Cr2CuAg2
1.0
7.5287 0.0000 0.0000
0.0000 7.5287 0.0000
0.0000 0.0000 2.8098
Cr Cu Ag
4 2 4
direct
0.0864 0.4136 0.0000
0.4136 0.9136 0.0000
0.5864 0.0864 0.0000
0.9136 0.5864 0.0000
0.0000 0.0000 0.0000
0.5000 0.5000 0.0000
0.2046 0.7046 0.5000
0.2954 0.2046 0.5000
0.7046 0.7954 0.5000
0.7954 0.2954 0.5000
```

Results
- space-group type = P4/mbm, No. 127
- E above lowest polymorph (meV/atom) = 0.0

=====

| no. | formation enthalpy at 0 K (eV/atom) |
| --- | --- |
| 1 | 0.152 |
| 2 | 0.706 |
| 3 | 0.159 |
| 4 | 0.732 |